Below is an optimized crystal structure of TaMn3Ge, with properties calculated at the PBEsol level.

Cell and atoms, written as POSCAR:
```
TaMn3Ge
1.0
4.228 0.000 0.000
0.000 4.228 0.000
0.000 0.000 4.228
Ta Mn Ge
1 3 1
direct
0.000 0.000 0.000
0.000 0.500 0.500
0.500 0.000 0.500
0.500 0.500 0.000
0.500 0.500 0.500
```

mass density	9.19	Mg/m³
energy of formation	1.01	eV per atom
electronic total energy	-0.3067	hartree per atom
space group	Pm-3m (221)

Below is an optimized crystal structure of LiFeOs2, with properties calculated at the PBEsol level.

Cell and atoms, written as POSCAR:
```
LiFeOs2
1.0
5.769 0.000 0.000
0.000 5.769 0.000
0.000 0.000 5.769
Li Fe Os
4 4 8
direct
0.000 0.000 0.000
0.000 0.500 0.500
0.500 0.000 0.500
0.500 0.500 0.000
0.000 0.000 0.500
0.000 0.500 0.000
0.500 0.000 0.000
0.500 0.500 0.500
0.250 0.250 0.250
0.250 0.250 0.750
0.250 0.750 0.250
0.250 0.750 0.750
0.750 0.250 0.250
0.750 0.250 0.750
0.750 0.750 0.250
0.750 0.750 0.750
```

mass density	15.33	Mg/m³
energy of formation	0.34	eV per atom
electronic total energy	-0.3125	hartree per atom
space group	Fm-3m (225)

Below is an optimized crystal structure of K4ZrRh, with properties calculated at the PBEsol level.

Cell and atoms, written as POSCAR:
```
K4ZrRh
1.0
0.000 4.594 4.594
4.594 0.000 4.594
4.594 4.594 0.000
K Zr Rh
4 1 1
direct
0.377 0.377 0.377
0.377 0.377 0.869
0.377 0.869 0.377
0.869 0.377 0.377
0.000 0.000 0.000
0.750 0.750 0.750
```

mass density	3.00	Mg/m³
energy of formation	1.35	eV per atom
electronic total energy	-0.0836	hartree per atom
space group	F-43m (216)

Below is an optimized crystal structure of CaAgAu, with properties calculated at the PBEsol level.

Cell and atoms, written as POSCAR:
```
CaAgAu
1.0
6.632 0.000 0.000
0.000 6.632 0.000
0.000 0.000 6.632
Ca Ag Au
4 4 4
direct
0.000 0.000 0.000
0.000 0.500 0.500
0.500 0.000 0.500
0.500 0.500 0.000
0.000 0.000 0.500
0.000 0.500 0.000
0.500 0.000 0.000
0.500 0.500 0.500
0.250 0.250 0.250
0.250 0.750 0.750
0.750 0.250 0.750
0.750 0.750 0.250
```

mass density	7.86	Mg/m³
ΔE to the lowest computed polymorph	104	meV per atom
energy of formation	-0.37	eV per atom
electronic total energy	-0.1282	hartree per atom
space group	F-43m (216)

Below is an optimized crystal structure of AlGaSn2Bi, with properties calculated at the PBEsol level.

Cell and atoms, written as POSCAR:
```
AlGaSn2Bi
1.0
5.300 0.000 0.000
0.000 5.300 0.000
0.000 0.000 4.793
Al Ga Sn Bi
1 1 2 1
direct
0.000 0.000 0.000
0.000 0.000 0.500
0.000 0.500 0.500
0.500 0.000 0.500
0.500 0.500 0.000
```

mass density	6.70	Mg/m³
energy of formation	0.33	eV per atom
electronic total energy	-0.1364	hartree per atom
space group	P4/mmm (123)

Below is an optimized crystal structure of LiCa3Rh, with properties calculated at the PBEsol level.

Cell and atoms, written as POSCAR:
```
LiCa3Rh
1.0
5.464 0.000 0.000
0.000 5.464 0.000
0.000 0.000 5.464
Li Ca Rh
1 3 1
direct
0.000 0.000 0.000
0.000 0.500 0.500
0.500 0.000 0.500
0.500 0.500 0.000
0.500 0.500 0.500
```

mass density	2.34	Mg/m³
energy of formation	-0.12	eV per atom
electronic total energy	-0.1258	hartree per atom
space group	Pm-3m (221)

Below is an optimized crystal structure of AcVO3, with properties calculated at the PBEsol level.

Cell and atoms, written as POSCAR:
```
AcVO3
1.0
3.905 0.000 0.000
0.000 3.905 0.000
0.000 0.000 3.905
Ac V O
1 1 3
direct
0.000 0.000 0.000
0.500 0.500 0.500
0.000 0.500 0.500
0.500 0.000 0.500
0.500 0.500 0.000
```

mass density	9.09	Mg/m³
electronic total energy	-0.3282	hartree per atom
space group	Pm-3m (221)
formation energy without anion corrections	-2952	meV per atom

Below is an optimized crystal structure of BaAl2O4, with properties calculated at the PBEsol level.

Cell and atoms, written as POSCAR:
```
BaAl2O4
1.0
5.201 0.000 0.000
-2.600 4.504 0.000
0.000 0.000 8.902
Ba Al O
2 4 8
direct
0.000 0.000 0.250
0.000 0.000 0.750
0.333 0.667 0.054
0.333 0.667 0.446
0.667 0.333 0.554
0.667 0.333 0.946
0.000 0.350 0.000
0.000 0.650 0.500
0.333 0.667 0.250
0.350 0.000 0.000
0.350 0.350 0.500
0.650 0.000 0.500
0.650 0.650 0.000
0.667 0.333 0.750
```

mass density	4.07	Mg/m³
ΔE to the lowest computed polymorph	4	meV per atom
electronic total energy	-0.2763	hartree per atom
space group	P6_322 (182)
formation energy without anion corrections	-3043	meV per atom

Below is an optimized crystal structure of Li3MgNi4O8, with properties calculated at the PBEsol level.

Cell and atoms, written as POSCAR:
```
Li3MgNi4O8
1.0
2.892 1.670 4.667
-2.892 1.670 4.667
0.000 -3.340 4.667
Li Mg Ni O
3 1 4 8
direct
0.000 0.500 0.500
0.500 0.000 0.500
0.500 0.500 0.000
0.000 0.000 0.000
0.000 0.000 0.500
0.000 0.500 0.000
0.500 0.000 0.000
0.500 0.500 0.500
0.232 0.748 0.748
0.241 0.241 0.241
0.252 0.252 0.768
0.252 0.768 0.252
0.748 0.232 0.748
0.748 0.748 0.232
0.759 0.759 0.759
0.768 0.252 0.252
```

mass density	5.01	Mg/m³
electronic total energy	-0.2211	hartree per atom
space group	R-3m (166)
formation energy without anion corrections	-1376	meV per atom

Below is an optimized crystal structure of LaAgCl, with properties calculated at the PBEsol level.

Cell and atoms, written as POSCAR:
```
LaAgCl
1.0
3.781 0.000 0.000
-1.890 3.274 0.000
0.000 0.000 6.705
La Ag Cl
1 1 1
direct
0.000 0.000 0.000
0.333 0.667 0.669
0.667 0.333 0.288
```

mass density	5.65	Mg/m³
electronic total energy	-0.1567	hartree per atom
space group	P3m1 (156)
formation energy without anion corrections	-709	meV per atom

Below is an optimized crystal structure of CsCr2AgIr, with properties calculated at the PBEsol level.

Cell and atoms, written as POSCAR:
```
CsCr2AgIr
1.0
4.985 0.000 0.000
0.000 4.985 0.000
0.000 0.000 5.760
Cs Cr Ag Ir
1 2 1 1
direct
0.000 0.000 0.000
0.000 0.500 0.500
0.500 0.000 0.500
0.000 0.000 0.500
0.500 0.500 0.000
```

mass density	6.23	Mg/m³
energy of formation	2.22	eV per atom
electronic total energy	-0.1724	hartree per atom
space group	P4/mmm (123)

Below is an optimized crystal structure of SrLaZr2Zn, with properties calculated at the PBEsol level.

Cell and atoms, written as POSCAR:
```
SrLaZr2Zn
1.0
5.175 0.000 0.000
0.000 5.175 0.000
0.000 0.000 5.625
Sr La Zr Zn
1 1 2 1
direct
0.000 0.000 0.000
0.500 0.500 0.000
0.000 0.500 0.500
0.500 0.000 0.500
0.500 0.500 0.500
```

mass density	5.23	Mg/m³
energy of formation	0.52	eV per atom
electronic total energy	-0.1791	hartree per atom
space group	P4/mmm (123)

Below is an optimized crystal structure of LiSiNi2, with properties calculated at the PBEsol level.

Cell and atoms, written as POSCAR:
```
LiSiNi2
1.0
2.675 0.000 0.000
0.000 2.675 0.000
0.000 0.000 6.283
Li Si Ni
1 1 2
direct
0.000 0.000 0.000
0.000 0.000 0.500
0.500 0.500 0.285
0.500 0.500 0.715
```

mass density	5.63	Mg/m³
electronic total energy	-0.1983	hartree per atom
space group	P4/mmm (123)
formation energy without anion corrections	-388	meV per atom

Below is an optimized crystal structure of NiPd3, with properties calculated at the PBEsol level.

Cell and atoms, written as POSCAR:
```
NiPd3
1.0
5.347 0.000 0.000
-2.674 4.631 0.000
0.000 0.000 4.416
Ni Pd
2 6
direct
0.333 0.667 0.250
0.667 0.333 0.750
0.169 0.338 0.750
0.169 0.831 0.750
0.338 0.169 0.250
0.662 0.831 0.750
0.831 0.169 0.250
0.831 0.662 0.250
```

mass density	11.48	Mg/m³
energy of formation	0.06	eV per atom
electronic total energy	-0.2187	hartree per atom
space group	P6_3/mmc (194)

Below is an optimized crystal structure of Mg3Al18V2, with properties calculated at the PBEsol level.

Cell and atoms, written as POSCAR:
```
Mg3Al18V2
1.0
0.000 7.249 7.249
7.249 0.000 7.249
7.249 7.249 0.000
Mg Al V
6 36 4
direct
0.000 0.000 0.000
0.000 0.000 0.500
0.000 0.500 0.000
0.125 0.125 0.125
0.500 0.000 0.000
0.875 0.875 0.875
0.057 0.326 0.326
0.057 0.326 0.791
0.057 0.791 0.326
0.209 0.674 0.674
0.209 0.674 0.943
0.209 0.943 0.674
0.236 0.236 0.514
0.236 0.514 0.236
0.236 0.514 0.514
0.326 0.057 0.326
0.326 0.057 0.791
0.326 0.326 0.057
0.326 0.326 0.791
0.326 0.791 0.057
0.326 0.791 0.326
0.486 0.486 0.764
0.486 0.764 0.486
0.486 0.764 0.764
0.514 0.236 0.236
0.514 0.236 0.514
0.514 0.514 0.236
0.674 0.209 0.674
0.674 0.209 0.943
0.674 0.674 0.209
0.674 0.674 0.943
0.674 0.943 0.209
0.674 0.943 0.674
0.764 0.486 0.486
0.764 0.486 0.764
0.764 0.764 0.486
0.791 0.057 0.326
0.791 0.326 0.057
0.791 0.326 0.326
0.943 0.209 0.674
0.943 0.674 0.209
0.943 0.674 0.674
0.000 0.500 0.500
0.500 0.000 0.500
0.500 0.500 0.000
0.500 0.500 0.500
```

mass density	2.88	Mg/m³
energy of formation	-0.14	eV per atom
electronic total energy	-0.1619	hartree per atom
space group	Fd-3m (227)

Below is an optimized crystal structure of ZrMnPt2, with properties calculated at the PBEsol level.

Cell and atoms, written as POSCAR:
```
ZrMnPt2
1.0
2.855 0.000 0.000
-1.427 2.472 0.000
0.000 0.000 27.057
Zr Mn Pt
3 3 6
direct
0.000 0.000 0.000
0.333 0.667 0.667
0.667 0.333 0.333
0.000 0.000 0.753
0.333 0.667 0.419
0.667 0.333 0.086
0.000 0.000 0.248
0.000 0.000 0.495
0.333 0.667 0.162
0.333 0.667 0.915
0.667 0.333 0.582
0.667 0.333 0.828
```

mass density	13.99	Mg/m³
energy of formation	-0.10	eV per atom
electronic total energy	-0.3047	hartree per atom
space group	R3m (160)

Below is an optimized crystal structure of Mg30VNiO32, with properties calculated at the PBEsol level.

Cell and atoms, written as POSCAR:
```
Mg30VNiO32
1.0
8.438 0.000 0.000
0.000 8.438 0.000
0.000 0.000 8.433
Mg V Ni O
30 1 1 32
direct
0.000 0.000 0.000
0.000 0.248 0.252
0.000 0.248 0.748
0.000 0.500 0.000
0.000 0.500 0.500
0.000 0.752 0.252
0.000 0.752 0.748
0.247 0.247 0.500
0.247 0.753 0.500
0.248 0.000 0.252
0.248 0.000 0.748
0.249 0.249 0.000
0.249 0.500 0.250
0.249 0.500 0.750
0.249 0.751 0.000
0.500 0.000 0.000
0.500 0.000 0.500
0.500 0.249 0.250
0.500 0.249 0.750
0.500 0.500 0.000
0.500 0.751 0.250
0.500 0.751 0.750
0.751 0.249 0.000
0.751 0.500 0.250
0.751 0.500 0.750
0.751 0.751 0.000
0.752 0.000 0.252
0.752 0.000 0.748
0.753 0.247 0.500
0.753 0.753 0.500
0.500 0.500 0.500
0.000 0.000 0.500
0.000 0.000 0.246
0.000 0.000 0.754
0.000 0.250 0.000
0.000 0.256 0.500
0.000 0.500 0.250
0.000 0.500 0.750
0.000 0.744 0.500
0.000 0.750 0.000
0.250 0.000 0.000
0.250 0.250 0.251
0.250 0.250 0.749
0.250 0.750 0.251
0.250 0.750 0.749
0.251 0.500 0.000
0.252 0.500 0.500
0.256 0.000 0.500
0.500 0.000 0.250
0.500 0.000 0.750
0.500 0.251 0.000
0.500 0.252 0.500
0.500 0.500 0.250
0.500 0.500 0.750
0.500 0.748 0.500
0.500 0.749 0.000
0.744 0.000 0.500
0.748 0.500 0.500
0.749 0.500 0.000
0.750 0.000 0.000
0.750 0.250 0.251
0.750 0.250 0.749
0.750 0.750 0.251
0.750 0.750 0.749
```

mass density	3.74	Mg/m³
electronic total energy	-0.2321	hartree per atom
space group	P4/mmm (123)
formation energy without anion corrections	-2640	meV per atom

Below is an optimized crystal structure of LaHfPd2, with properties calculated at the PBEsol level.

Cell and atoms, written as POSCAR:
```
LaHfPd2
1.0
6.892 0.000 0.000
0.000 6.892 0.000
0.000 0.000 6.892
La Hf Pd
4 4 8
direct
0.000 0.000 0.000
0.000 0.500 0.500
0.500 0.000 0.500
0.500 0.500 0.000
0.000 0.000 0.500
0.000 0.500 0.000
0.500 0.000 0.000
0.500 0.500 0.500
0.250 0.250 0.250
0.250 0.250 0.750
0.250 0.750 0.250
0.250 0.750 0.750
0.750 0.250 0.250
0.750 0.250 0.750
0.750 0.750 0.250
0.750 0.750 0.750
```

mass density	10.76	Mg/m³
energy of formation	-0.48	eV per atom
electronic total energy	-0.2727	hartree per atom
space group	Fm-3m (225)

Below is an optimized crystal structure of Sr4AlSb, with properties calculated at the PBEsol level.

Cell and atoms, written as POSCAR:
```
Sr4AlSb
1.0
0.000 4.769 4.769
4.769 0.000 4.769
4.769 4.769 0.000
Sr Al Sb
4 1 1
direct
0.124 0.124 0.124
0.124 0.124 0.627
0.124 0.627 0.124
0.627 0.124 0.124
0.500 0.500 0.500
0.750 0.750 0.750
```

mass density	3.82	Mg/m³
electronic total energy	-0.0856	hartree per atom
space group	F-43m (216)
formation energy without anion corrections	339	meV per atom

Below is an optimized crystal structure of Ba2YBiOs, with properties calculated at the PBEsol level.

Cell and atoms, written as POSCAR:
```
Ba2YBiOs
1.0
5.972 0.000 0.000
0.000 5.972 0.000
0.000 0.000 5.219
Ba Y Bi Os
2 1 1 1
direct
0.000 0.500 0.000
0.500 0.000 0.000
0.000 0.000 0.500
0.500 0.500 0.500
0.500 0.500 0.000
```

mass density	6.80	Mg/m³
energy of formation	0.52	eV per atom
electronic total energy	-0.1838	hartree per atom
space group	P4/mmm (123)